# 1
A plane-wave DFT calculation with PBE was carried out for a relaxed Li3Tb2PrS6 crystal.

VASP energy: -5.5257 eV per atom
space group: No. 12
size of the total moment: 0.0 Bohr magnetons per cell
uncorrected formation energy: -1814 meV/atom

```
data_Li3Tb2PrS6
_chemical_formula_sum 'Li3 Tb2 Pr1 S6'
_cell_length_a 6.910
_cell_length_b 6.910
_cell_length_c 6.605
_cell_angle_alpha 99.95
_cell_angle_beta 99.95
_cell_angle_gamma 120.06
_space_group_name_H-M_alt 'P 1'
_space_group_IT_number 1
_space_group_name_Hall 'P 1'
loop_
_atom_site_label
_atom_site_fract_x
_atom_site_fract_y
_atom_site_fract_z
Li1 0.172 0.828 0.500
Li2 0.828 0.172 0.500
Li3 0.500 0.500 0.500
Tb1 0.334 0.666 0.000
Tb2 0.666 0.334 0.000
Pr1 0.000 0.000 0.000
S1 0.916 0.574 0.747
S2 0.741 0.741 0.254
S3 0.084 0.426 0.253
S4 0.574 0.916 0.747
S5 0.259 0.259 0.746
S6 0.426 0.084 0.253
```

# 2
A plane-wave DFT calculation with PBE was carried out for a relaxed LiTiNb2 crystal.

VASP energy: -6.9000 eV per atom
E_form: 587 meV per atom
space group: No. 122
size of the total moment: 0.0 Bohr magnetons per cell
ΔE to the lowest computed polymorph: 242.3 meV/atom

```
data_LiTiNb2
_chemical_formula_sum 'Li2 Ti2 Nb4'
_cell_length_a 3.847
_cell_length_b 3.847
_cell_length_c 10.102
_cell_angle_alpha 79.02
_cell_angle_beta 79.02
_cell_angle_gamma 90.00
_space_group_name_H-M_alt 'P 1'
_space_group_IT_number 1
_space_group_name_Hall 'P 1'
loop_
_atom_site_label
_atom_site_fract_x
_atom_site_fract_y
_atom_site_fract_z
Nb1 0.634 0.125 0.250
Nb2 0.116 0.625 0.250
Nb3 0.375 0.366 0.750
Nb4 0.875 0.884 0.750
Li1 0.500 0.500 0.000
Li2 0.250 0.750 0.500
Ti1 0.000 0.000 0.000
Ti2 0.750 0.250 0.500
```

# 3
A plane-wave DFT calculation with PBE was carried out for a relaxed NdTmNiPd crystal.

VASP energy: -5.6087 eV per atom
E_form: -555 meV per atom
space group: No. 216
size of the total moment: 0.0 Bohr magnetons per cell
ΔE to the lowest computed polymorph: 59.8 meV/atom

```
data_NdTmNiPd
_chemical_formula_sum 'Nd1 Tm1 Ni1 Pd1'
_cell_length_a 4.939
_cell_length_b 4.939
_cell_length_c 4.939
_cell_angle_alpha 60.00
_cell_angle_beta 60.00
_cell_angle_gamma 60.00
_space_group_name_H-M_alt 'P 1'
_space_group_IT_number 1
_space_group_name_Hall 'P 1'
loop_
_atom_site_label
_atom_site_fract_x
_atom_site_fract_y
_atom_site_fract_z
Ni1 0.250 0.250 0.250
Tm1 0.000 0.000 0.000
Nd1 0.500 0.500 0.500
Pd1 0.750 0.750 0.750
```

# 4
A plane-wave DFT calculation with PBE was carried out for a relaxed Nd12CuNi6 crystal.

VASP energy: -5.2478 eV per atom
E_form: -195 meV per atom
space group: No. 204
size of the total moment: 0.0 Bohr magnetons per cell
ΔE to the lowest computed polymorph: 0.0 meV/atom

```
data_Nd12CuNi6
_chemical_formula_sum 'Nd12 Cu1 Ni6'
_cell_length_a 8.636
_cell_length_b 8.636
_cell_length_c 8.636
_cell_angle_alpha 109.47
_cell_angle_beta 109.47
_cell_angle_gamma 109.47
_space_group_name_H-M_alt 'P 1'
_space_group_IT_number 1
_space_group_name_Hall 'P 1'
loop_
_atom_site_label
_atom_site_fract_x
_atom_site_fract_y
_atom_site_fract_z
Nd1 0.303 0.118 0.814
Nd2 0.303 0.489 0.186
Nd3 0.697 0.511 0.814
Nd4 0.697 0.882 0.186
Nd5 0.118 0.814 0.303
Nd6 0.489 0.186 0.303
Nd7 0.511 0.814 0.697
Nd8 0.882 0.186 0.697
Nd9 0.814 0.303 0.118
Nd10 0.186 0.303 0.489
Nd11 0.814 0.697 0.511
Nd12 0.186 0.697 0.882
Cu1 0.000 0.000 0.000
Ni1 0.377 0.500 0.877
Ni2 0.623 0.500 0.123
Ni3 0.500 0.877 0.377
Ni4 0.500 0.123 0.623
Ni5 0.877 0.377 0.500
Ni6 0.123 0.623 0.500
```